First-principles (PBE) data for a relaxed structure of PmReSn, as listed in Alexandria via LeMat-Bulk.

Lattice parameters (Å, degrees): 3.2098 3.2428 15.8804 95.87 120.36 90.00
Sites, in units of the cell vectors:
Re1 0.3700 0.7741 0.5479
Re2 0.6300 0.2259 0.4521
Pm1 0.7248 0.6462 0.2901
Pm2 0.2752 0.3538 0.7099
Sn1 0.2362 0.9467 0.8943
Sn2 0.7638 0.0533 0.1057

Energy of formation from the pure elements ... -0.08 eV/atom
Space-group type ... Immm (71)
Total magnetic moment ... 0.00 μB per formula unit
Total DFT energy (no corrections) ... -7.15 eV per atom